HoEr5Th3, optimized geometry, DFT GGA-PBE; density = 9.066 g cm⁻³; E = -4.96 eV per atom; energy relative to the elements = 5.0 eV/f.u.; spin magnetization = 0.00 μB/cell
1.0
7.3955 0.4598 -0.8053
2.4668 6.9872 -0.8053
2.3317 1.7606 11.9214
Th Er Ho
6 10 2
direct
0.0000 0.0000 0.0000
0.2603 0.2603 0.4549
0.6224 0.6224 0.7835
0.3776 0.3776 0.2165
0.7397 0.7397 0.5451
0.0000 0.0000 0.5000
0.0619 0.6722 0.7756
0.7431 0.7431 0.0226
0.2569 0.2569 0.9774
0.6713 0.3287 0.0000
0.9381 0.3278 0.2244
0.4426 0.4426 0.6210
0.6722 0.0619 0.7756
0.5574 0.5574 0.3790
0.3278 0.9381 0.2244
0.3287 0.6713 0.0000
0.1399 0.1399 0.7332
0.8601 0.8601 0.2668